# La2PrEr (PBE, relaxed)
data_La2PrEr
_chemical_formula_sum 'La2 Pr1 Er1'
_cell_length_a 12.181
_cell_length_b 12.181
_cell_length_c 12.181
_cell_angle_alpha 17.38
_cell_angle_beta 17.38
_cell_angle_gamma 17.38
_symmetry_space_group_name_H-M 'P 1'
_symmetry_Int_Tables_number 1
loop_
_symmetry_equiv_pos_as_xyz
'x,y,z'
loop_
_atom_site_label
_atom_site_fract_x
_atom_site_fract_y
_atom_site_fract_z
_atom_site_occupancy
La1 0.000 0.000 0.000 1
La2 0.171 0.171 0.171 1
Pr1 0.753 0.753 0.753 1
Er1 0.585 0.585 0.585 1
# energy of formation = 2.45 kJ per mole of atoms
# final energy = -4.774 eV per atom

# LaPr2Er4 (PBE, relaxed)
data_LaPr2Er4
_chemical_formula_sum 'La2 Pr4 Er8'
_cell_length_a 9.112
_cell_length_b 9.112
_cell_length_c 9.112
_cell_angle_alpha 136.94
_cell_angle_beta 101.19
_cell_angle_gamma 94.32
_symmetry_space_group_name_H-M 'P 1'
_symmetry_Int_Tables_number 1
loop_
_symmetry_equiv_pos_as_xyz
'x,y,z'
loop_
_atom_site_label
_atom_site_fract_x
_atom_site_fract_y
_atom_site_fract_z
_atom_site_occupancy
La1 0.477 0.227 0.250 1
La2 0.523 0.773 0.750 1
Pr1 0.000 0.000 0.000 1
Pr2 0.000 0.000 0.500 1
Pr3 0.000 0.500 0.000 1
Pr4 0.500 0.000 0.500 1
Er1 0.128 0.635 0.492 1
Er2 0.261 0.281 0.521 1
Er3 0.261 0.740 0.979 1
Er4 0.357 0.365 0.992 1
Er5 0.643 0.635 0.008 1
Er6 0.739 0.260 0.021 1
Er7 0.739 0.719 0.479 1
Er8 0.872 0.365 0.508 1
# energy of formation = 24.80 kJ per mole of atoms
# final energy = -4.420 eV per atom

# La3Pr4Er (PBE, relaxed)
data_La3Pr4Er
_chemical_formula_sum 'La3 Pr4 Er1'
_cell_length_a 13.114
_cell_length_b 13.114
_cell_length_c 6.329
_cell_angle_alpha 95.09
_cell_angle_beta 95.09
_cell_angle_gamma 15.56
_symmetry_space_group_name_H-M 'P 1'
_symmetry_Int_Tables_number 1
loop_
_symmetry_equiv_pos_as_xyz
'x,y,z'
loop_
_atom_site_label
_atom_site_fract_x
_atom_site_fract_y
_atom_site_fract_z
_atom_site_occupancy
La1 0.000 0.000 0.000 1
La2 0.144 0.144 0.245 1
La3 0.856 0.856 0.755 1
Pr1 0.105 0.105 0.733 1
Pr2 0.279 0.279 0.259 1
Pr3 0.721 0.721 0.741 1
Pr4 0.895 0.895 0.267 1
Er1 0.500 0.500 0.500 1
# energy of formation = 17.88 kJ per mole of atoms
# final energy = -4.623 eV per atom

# LaPr4Er (PBE, relaxed)
data_LaPr4Er
_chemical_formula_sum 'La1 Pr4 Er1'
_cell_length_a 7.684
_cell_length_b 7.684
_cell_length_c 7.684
_cell_angle_alpha 46.15
_cell_angle_beta 46.15
_cell_angle_gamma 46.15
_symmetry_space_group_name_H-M 'P 1'
_symmetry_Int_Tables_number 1
loop_
_symmetry_equiv_pos_as_xyz
'x,y,z'
loop_
_atom_site_label
_atom_site_fract_x
_atom_site_fract_y
_atom_site_fract_z
_atom_site_occupancy
La1 0.000 0.000 0.000 1
Pr1 0.168 0.168 0.168 1
Pr2 0.336 0.336 0.336 1
Pr3 0.664 0.664 0.664 1
Pr4 0.832 0.832 0.832 1
Er1 0.500 0.500 0.500 1
# energy of formation = 33.41 kJ per mole of atoms
# final energy = -4.422 eV per atom

# LaPr12Er6 (PBE, relaxed)
data_LaPr12Er6
_chemical_formula_sum 'La1 Pr12 Er6'
_cell_length_a 9.466
_cell_length_b 9.466
_cell_length_c 9.466
_cell_angle_alpha 107.23
_cell_angle_beta 107.23
_cell_angle_gamma 107.23
_symmetry_space_group_name_H-M 'P 1'
_symmetry_Int_Tables_number 1
loop_
_symmetry_equiv_pos_as_xyz
'x,y,z'
loop_
_atom_site_label
_atom_site_fract_x
_atom_site_fract_y
_atom_site_fract_z
_atom_site_occupancy
La1 0.000 0.000 0.000 1
Pr1 0.112 0.500 0.888 1
Pr2 0.112 0.888 0.500 1
Pr3 0.166 0.385 0.385 1
Pr4 0.385 0.166 0.385 1
Pr5 0.385 0.385 0.166 1
Pr6 0.500 0.112 0.888 1
Pr7 0.500 0.888 0.112 1
Pr8 0.615 0.615 0.834 1
Pr9 0.615 0.834 0.615 1
Pr10 0.834 0.615 0.615 1
Pr11 0.888 0.112 0.500 1
Pr12 0.888 0.500 0.112 1
Er1 0.262 0.694 0.694 1
Er2 0.306 0.306 0.738 1
Er3 0.306 0.738 0.306 1
Er4 0.694 0.262 0.694 1
Er5 0.694 0.694 0.262 1
Er6 0.738 0.306 0.306 1
# energy of formation = 38.48 kJ per mole of atoms
# final energy = -4.320 eV per atom

# LaPr12Er6 (PBE, relaxed)
data_LaPr12Er6
_chemical_formula_sum 'La1 Pr12 Er6'
_cell_length_a 8.744
_cell_length_b 8.744
_cell_length_c 8.744
_cell_angle_alpha 88.75
_cell_angle_beta 88.75
_cell_angle_gamma 88.75
_symmetry_space_group_name_H-M 'P 1'
_symmetry_Int_Tables_number 1
loop_
_symmetry_equiv_pos_as_xyz
'x,y,z'
loop_
_atom_site_label
_atom_site_fract_x
_atom_site_fract_y
_atom_site_fract_z
_atom_site_occupancy
La1 0.000 0.000 0.000 1
Pr1 0.017 0.365 0.194 1
Pr2 0.194 0.017 0.365 1
Pr3 0.217 0.568 0.464 1
Pr4 0.365 0.194 0.017 1
Pr5 0.432 0.536 0.783 1
Pr6 0.464 0.217 0.568 1
Pr7 0.536 0.783 0.432 1
Pr8 0.568 0.464 0.217 1
Pr9 0.635 0.806 0.983 1
Pr10 0.783 0.432 0.536 1
Pr11 0.806 0.983 0.635 1
Pr12 0.983 0.635 0.806 1
Er1 0.101 0.258 0.702 1
Er2 0.258 0.702 0.101 1
Er3 0.298 0.899 0.742 1
Er4 0.702 0.101 0.258 1
Er5 0.742 0.298 0.899 1
Er6 0.899 0.742 0.298 1
# energy of formation = 12.03 kJ per mole of atoms
# final energy = -4.594 eV per atom

# La2PrEr (PBE, relaxed)
data_La2PrEr
_chemical_formula_sum 'La2 Pr1 Er1'
_cell_length_a 4.255
_cell_length_b 4.255
_cell_length_c 7.812
_cell_angle_alpha 90.00
_cell_angle_beta 90.00
_cell_angle_gamma 90.00
_symmetry_space_group_name_H-M 'P 1'
_symmetry_Int_Tables_number 1
loop_
_symmetry_equiv_pos_as_xyz
'x,y,z'
loop_
_atom_site_label
_atom_site_fract_x
_atom_site_fract_y
_atom_site_fract_z
_atom_site_occupancy
La1 0.000 0.000 0.235 1
La2 0.000 0.000 0.765 1
Pr1 0.500 0.500 0.500 1
Er1 0.500 0.500 0.000 1
# energy of formation = 8.44 kJ per mole of atoms
# final energy = -4.712 eV per atom

# LaPrEr2 (PBE, relaxed)
data_LaPrEr2
_chemical_formula_sum 'La1 Pr1 Er2'
_cell_length_a 11.843
_cell_length_b 11.843
_cell_length_c 11.843
_cell_angle_alpha 17.64
_cell_angle_beta 17.64
_cell_angle_gamma 17.64
_symmetry_space_group_name_H-M 'P 1'
_symmetry_Int_Tables_number 1
loop_
_symmetry_equiv_pos_as_xyz
'x,y,z'
loop_
_atom_site_label
_atom_site_fract_x
_atom_site_fract_y
_atom_site_fract_z
_atom_site_occupancy
La1 0.000 0.000 0.000 1
Pr1 0.500 0.500 0.500 1
Er1 0.250 0.250 0.250 1
Er2 0.750 0.750 0.750 1
# energy of formation = 1.46 kJ per mole of atoms
# final energy = -4.693 eV per atom

# La15PrEr4 (PBE, relaxed)
data_La15PrEr4
_chemical_formula_sum 'La15 Pr1 Er4'
_cell_length_a 5.209
_cell_length_b 5.209
_cell_length_c 26.080
_cell_angle_alpha 90.00
_cell_angle_beta 90.00
_cell_angle_gamma 90.00
_symmetry_space_group_name_H-M 'P 1'
_symmetry_Int_Tables_number 1
loop_
_symmetry_equiv_pos_as_xyz
'x,y,z'
loop_
_atom_site_label
_atom_site_fract_x
_atom_site_fract_y
_atom_site_fract_z
_atom_site_occupancy
La1 0.000 0.000 0.000 1
La2 0.000 0.000 0.202 1
La3 0.000 0.000 0.401 1
La4 0.000 0.000 0.599 1
La5 0.000 0.000 0.798 1
La6 0.000 0.500 0.102 1
La7 0.000 0.500 0.301 1
La8 0.000 0.500 0.500 1
La9 0.000 0.500 0.699 1
La10 0.000 0.500 0.898 1
La11 0.500 0.000 0.102 1
La12 0.500 0.000 0.301 1
La13 0.500 0.000 0.500 1
La14 0.500 0.000 0.699 1
La15 0.500 0.000 0.898 1
Pr1 0.500 0.500 0.000 1
Er1 0.500 0.500 0.202 1
Er2 0.500 0.500 0.400 1
Er3 0.500 0.500 0.600 1
Er4 0.500 0.500 0.798 1
# energy of formation = 0.81 kJ per mole of atoms
# final energy = -4.839 eV per atom

# La4Pr3ErS8 (PBE, relaxed)
data_La4Pr3ErS8
_chemical_formula_sum 'La4 Pr3 Er1 S8'
_cell_length_a 8.202
_cell_length_b 8.202
_cell_length_c 8.202
_cell_angle_alpha 60.07
_cell_angle_beta 60.07
_cell_angle_gamma 60.07
_symmetry_space_group_name_H-M 'P 1'
_symmetry_Int_Tables_number 1
loop_
_symmetry_equiv_pos_as_xyz
'x,y,z'
loop_
_atom_site_label
_atom_site_fract_x
_atom_site_fract_y
_atom_site_fract_z
_atom_site_occupancy
La1 0.000 0.000 0.000 1
La2 0.000 0.500 0.500 1
La3 0.500 0.000 0.500 1
La4 0.500 0.500 0.000 1
Pr1 0.000 0.000 0.500 1
Pr2 0.000 0.500 0.000 1
Pr3 0.500 0.000 0.000 1
Er1 0.500 0.500 0.500 1
S1 0.249 0.249 0.249 1
S2 0.258 0.741 0.741 1
S3 0.259 0.259 0.742 1
S4 0.259 0.742 0.259 1
S5 0.741 0.258 0.741 1
S6 0.741 0.741 0.258 1
S7 0.742 0.259 0.259 1
S8 0.751 0.751 0.751 1
# final energy = -6.560 eV per atom

Which of these has the lowest final energy?
La4Pr3ErS8

Which value of final energy does entry 9 give?
-4.839 eV per atom

What is the final energy in the seventh record?
-4.712 eV per atom

What is the formula in the first record?
La2PrEr